Entry A
The following is a DFT calculation (PBE) of SmHo2Er7 after structural relaxation.

Results
**Calculated volume**: 385.3 Å³/cell

Cell: 9.233 9.233 5.454 Å, 90.00 90.00 124.03°
Sites, in units of the cell vectors:
Sm  0.000  0.000  0.000
Ho  0.298  0.702  0.500
Ho  0.702  0.298  0.500
Er  0.063  0.290  0.500
Er  0.208  0.792  0.000
Er  0.290  0.063  0.500
Er  0.500  0.500  0.500
Er  0.710  0.937  0.500
Er  0.792  0.208  0.000
Er  0.937  0.710  0.500



Entry B
The following is a DFT calculation (PBE) of SmHo2Er7 after structural relaxation.

Results
**Calculated volume**: 310.2 Å³/cell

Cell: 9.371 9.371 5.381 Å, 106.67 106.67 123.99°
Sites, in units of the cell vectors:
Sm  0.000  0.000  0.000
Ho  0.301  0.699  0.500
Ho  0.699  0.301  0.500
Er  0.142  0.361  0.752
Er  0.200  0.800  0.000
Er  0.361  0.142  0.752
Er  0.500  0.500  0.500
Er  0.639  0.858  0.248
Er  0.800  0.200  0.000
Er  0.858  0.639  0.248



Stability, lowest: entry A



Entry A
The following is a DFT calculation (PBE) of TbSmHoEr after structural relaxation.

Results
**Calculated volume**: 514.8 Å³/cell

Cell: 8.015 8.015 8.015 Å, 90.00 90.00 90.00°
Sites, in units of the cell vectors:
Tb  0.000  0.000  0.000
Tb  0.000  0.500  0.500
Tb  0.500  0.000  0.500
Tb  0.500  0.500  0.000
Sm  0.000  0.000  0.500
Sm  0.000  0.500  0.000
Sm  0.500  0.000  0.000
Sm  0.500  0.500  0.500
Ho  0.250  0.250  0.250
Ho  0.250  0.750  0.750
Ho  0.750  0.250  0.750
Ho  0.750  0.750  0.250
Er  0.250  0.250  0.750
Er  0.250  0.750  0.250
Er  0.750  0.250  0.250
Er  0.750  0.750  0.750



Entry B
The following is a DFT calculation (PBE) of TbSmHoEr after structural relaxation.

Results
**Calculated volume**: 253.7 Å³/cell

Cell: 5.029 5.029 10.031 Å, 90.00 90.00 90.00°
Sites, in units of the cell vectors:
Tb  0.000  0.000  0.000
Tb  0.500  0.500  0.500
Sm  0.000  0.500  0.750
Sm  0.500  0.000  0.250
Ho  0.000  0.000  0.500
Ho  0.500  0.500  0.000
Er  0.000  0.500  0.250
Er  0.500  0.000  0.750



Stability, lowest: entry A



Entry A
The following is a DFT calculation (PBE) of SmHoErTh after structural relaxation.

Results
**Calculated volume**: 383.3 Å³/cell

Cell: 3.589 3.589 34.368 Å, 90.00 90.00 120.00°
Sites, in units of the cell vectors:
Sm  0.000  0.000  0.000
Sm  0.333  0.667  0.667
Sm  0.667  0.333  0.333
Ho  0.000  0.000  0.248
Ho  0.333  0.667  0.915
Ho  0.667  0.333  0.582
Er  0.000  0.000  0.832
Er  0.333  0.667  0.499
Er  0.667  0.333  0.165
Th  0.000  0.000  0.417
Th  0.333  0.667  0.083
Th  0.667  0.333  0.750



Entry B
The following is a DFT calculation (PBE) of SmHoErTh after structural relaxation.

Results
**Calculated volume**: 515.7 Å³/cell

Cell: 8.019 8.019 8.019 Å, 90.00 90.00 90.00°
Sites, in units of the cell vectors:
Sm  0.000  0.000  0.000
Sm  0.000  0.500  0.500
Sm  0.500  0.000  0.500
Sm  0.500  0.500  0.000
Ho  0.250  0.250  0.250
Ho  0.250  0.750  0.750
Ho  0.750  0.250  0.750
Ho  0.750  0.750  0.250
Er  0.250  0.250  0.750
Er  0.250  0.750  0.250
Er  0.750  0.250  0.250
Er  0.750  0.750  0.750
Th  0.000  0.000  0.500
Th  0.000  0.500  0.000
Th  0.500  0.000  0.000
Th  0.500  0.500  0.500



Stability, lowest: entry B